Below is an optimized crystal structure of SrAlMoO6, with properties calculated at the PBE+U level.

The space group is P312 (No. 149) and the conventional cell measures 5.1452, 5.1452 and 5.3917 Å, with angles of 90.00, 90.00 and 120.00 degrees. The inequivalent atoms are Sr at (0.0000, 0.0000, 0.0000), Al at (0.3333, 0.6667, 0.5000), Mo at (0.6667, 0.3333, 0.5000) and O at (0.0037, 0.3835, 0.6989).

The uncorrected energy comes out at -61.45 eV for the cell shown.



Below is an optimized crystal structure of ScMnTeO6, with properties calculated at the PBE+U level.

The space group is P-31c (No. 163) and the conventional cell measures 5.2770, 5.2770 and 8.8451 Å, with angles of 90.00, 90.00 and 120.00 degrees. The inequivalent atoms are Sc at (0.3333, 0.6667, 0.2500), Mn at (0.0000, 0.0000, 0.0000), Te at (0.3333, 0.6667, 0.7500) and O at (0.0226, 0.3544, 0.6298).

The uncorrected energy comes out at -124.59 eV for the cell shown.